A relaxed structure of K4SeBr2. Source: Alexandria, functional PBE.

Summary:
Space group   I4/mmm
Formation energy (no corrections)   -9.26 eV per formula unit

Unit cell a=6.132 b=6.132 c=9.711 alpha=71.60 beta=71.60 gamma=90.00
Fractional coordinates of all 7 atoms:
K: 0.822 0.822 0.356
K: 0.178 0.178 0.644
K: 0.000 0.500 0.000
K: 0.500 0.000 0.000
Se: 0.000 0.000 0.000
Br: 0.640 0.640 0.720
Br: 0.360 0.360 0.280